# Li6CdGa PBE-GGA optimized geometry
data_Li6CdGa
_symmetry_space_group_name_H-M 'A m m 2'
_symmetry_Int_Tables_number 38
_cell_length_a 4.7979
_cell_length_b 5.8075
_cell_length_c 10.0732
_cell_angle_alpha 90.00
_cell_angle_beta 90.00
_cell_angle_gamma 90.00
loop_
_symmetry_equiv_pos_as_xyz
'x,y,z'
'-x,-y,z'
'-x,y,z'
'x,-y,z'
'x,y+1/2,z+1/2'
'-x,-y+1/2,z+1/2'
'-x,y+1/2,z+1/2'
'x,-y+1/2,z+1/2'
loop_
_atom_site_label
_atom_site_fract_x
_atom_site_fract_y
_atom_site_fract_z
_atom_site_occupancy
Li1 0.0000 0.0000 0.0000 1
Li2 0.0000 0.2392 0.7606 1
Li3 0.5000 0.0000 0.3418 1
Li4 0.5000 0.2486 0.5904 1
Cd1 0.0000 0.0000 0.5071 1
Ga1 0.5000 0.0000 0.8409 1
# ΔE_f: -0.17 eV per atom
# ΔE to the lowest computed polymorph: 0.000 eV/atom